No. 1
Below is LiEr3Pb12 after structural relaxation, with properties calculated at the PBE-GGA level.

Its density of states at the Fermi level is 6.88 states/eV per cell. For the energy, the calculation gives -3.97 eV per atom.

Cell: 4.8307 4.8307 19.6694 Å, 90.00 90.00 90.00°
Last column: nearest neighbours and their distance in Å.
Space group P4/mmm (No. 123)
Inequivalent atoms, fractional coordinates:
Li (0.0000, 0.0000, 0.0000) [1 per cell]  12 Pb 3.40-3.42
Er (0.0000, 0.0000, 0.2534) [2 per cell]  12 Pb 3.40-3.54
Er (0.0000, 0.0000, 0.5000) [1 per cell]  12 Pb 3.42-3.45
Pb (0.0000, 0.5000, 0.1220) [4 per cell]  8 Pb 3.40-3.46, 2 Li 3.40, 2 Er 3.54
Pb (0.0000, 0.5000, 0.3747) [4 per cell]  4 Er 3.40-3.45, 8 Pb 3.42-3.48
Pb (0.5000, 0.5000, 0.0000) [1 per cell]  8 Pb 3.40, 4 Li 3.42
Pb (0.5000, 0.5000, 0.2476) [2 per cell]  4 Er 3.42, 8 Pb 3.46-3.48
Pb (0.5000, 0.5000, 0.5000) [1 per cell]  4 Er 3.42, 8 Pb 3.45

No. 2
Below is Li3ErPb12 after structural relaxation, with properties calculated at the PBE-GGA level.

Its density of states at the Fermi level is 6.97 states/eV per cell. For the energy, the calculation gives -3.58 eV per atom.

Cell: 4.7701 4.7701 19.9712 Å, 90.00 90.00 90.00°
Last column: nearest neighbours and their distance in Å.
Space group P4/mmm (No. 123)
Inequivalent atoms, fractional coordinates:
Li (0.0000, 0.0000, 0.0000) [1 per cell]  12 Pb 3.37-3.44
Li (0.0000, 0.0000, 0.2491) [2 per cell]  12 Pb 3.37-3.45
Er (0.0000, 0.0000, 0.5000) [1 per cell]  12 Pb 3.37-3.50
Pb (0.0000, 0.5000, 0.1242) [4 per cell]  8 Pb 3.37-3.44, 4 Li 3.44-3.45
Pb (0.0000, 0.5000, 0.3718) [4 per cell]  8 Pb 3.37-3.50, 2 Li 3.42, 2 Er 3.50
Pb (0.5000, 0.5000, 0.0000) [1 per cell]  4 Li 3.37, 8 Pb 3.44
Pb (0.5000, 0.5000, 0.2473) [2 per cell]  4 Li 3.37, 8 Pb 3.42-3.44
Pb (0.5000, 0.5000, 0.5000) [1 per cell]  4 Er 3.37, 8 Pb 3.50

No. 3
Below is LiEr3Pb2 after structural relaxation, with properties calculated at the PBE-GGA level.

Its density of states at the Fermi level is 13.31 states/eV per cell. For the energy, the calculation gives -4.18 eV per atom.

Cell: 6.3774 16.3318 6.3344 Å, 90.00 90.00 90.00°
Last column: nearest neighbours and their distance in Å.
Space group Ibam (No. 72)
Inequivalent atoms, fractional coordinates:
Li (0.0000, 0.0000, 0.2500) [4 per cell]  4 Pb 3.10, 2 Li 3.17, 2 Er 3.19
Er (0.0000, 0.5000, 0.2500) [4 per cell]  4 Pb 3.15, 2 Er 3.17, 2 Li 3.19
Er (0.2459, 0.1751, 0.0000) [8 per cell]  5 Pb 3.14-3.34
Pb (0.2412, 0.1330, 0.5000) [8 per cell]  2 Li 3.10, 7 Er 3.14-3.34

No. 4
Below is LiEr7Pb4 after structural relaxation, with properties calculated at the PBE-GGA level.

Its density of states at the Fermi level is 27.31 states/eV per cell. For the energy, the calculation gives -4.15 eV per atom.

Cell: 15.2926 5.4170 11.2164 Å, 90.00 128.62 90.00°
Last column: nearest neighbours and their distance in Å.
Space group C2/m (No. 12)
Inequivalent atoms, fractional coordinates:
Li (0.0000, 0.0000, 0.0000) [2 per cell]  4 Er 2.71-2.96
Er (0.0000, 0.5000, 0.0000) [2 per cell]  2 Li 2.71
Er (0.0822, 0.0000, 0.3188) [4 per cell]  1 Li 2.96, 1 Pb 3.10
Er (0.1469, 0.5000, 0.5753) [4 per cell]  5 Pb 3.13-3.46
Er (0.2081, 0.0000, 0.8642) [4 per cell]  4 Pb 3.09-3.20
Pb (0.0760, 0.5000, 0.7836) [4 per cell]  8 Er 3.13-3.32
Pb (0.2166, 0.5000, 0.3356) [4 per cell]  8 Er 3.09-3.46

No. 5
Below is Li4ErPb7 after structural relaxation, with properties calculated at the PBE-GGA level.

Its density of states at the Fermi level is 10.17 states/eV per cell. For the energy, the calculation gives -3.31 eV per atom.

Cell: 14.3123 5.8531 9.1571 Å, 90.00 124.30 90.00°
Last column: nearest neighbours and their distance in Å.
Space group C2/m (No. 12)
Inequivalent atoms, fractional coordinates:
Li (0.0285, 0.0000, 0.2062) [4 per cell]  1 Li 2.82, 2 Pb 2.90-2.94
Li (0.1829, 0.0000, 0.8380) [4 per cell]  3 Pb 2.70-2.87, 1 Li 2.82
Er (0.0000, 0.5000, 0.5000) [2 per cell]  4 Pb 2.93-3.27
Pb (0.0000, 0.0000, 0.5000) [2 per cell]  4 Li 2.70-2.94, 2 Er 2.93
Pb (0.0782, 0.5000, 0.9113) [4 per cell]  1 Li 2.85
Pb (0.2141, 0.5000, 0.3790) [4 per cell]  1 Li 3.07
Pb (0.2221, 0.0000, 0.1822) [4 per cell]  2 Li 2.87-2.90

No. 6
Below is LiErPb2 after structural relaxation, with properties calculated at the PBE-GGA level.

Its density of states at the Fermi level is 1.77 states/eV per cell. For the energy, the calculation gives -3.79 eV per atom.

Cell: 3.5795 3.5795 7.8830 Å, 90.00 90.00 90.00°
Last column: nearest neighbours and their distance in Å.
Space group P4/mmm (No. 123)
Inequivalent atoms, fractional coordinates:
Li (0.0000, 0.0000, 0.0000) [1 per cell]  8 Pb 3.09
Er (0.0000, 0.0000, 0.5000) [1 per cell]  8 Pb 3.33, 4 Er 3.58
Pb (0.5000, 0.5000, 0.2254) [2 per cell]  4 Li 3.09, 4 Er 3.33

No. 7
Below is LiEr8Pb6 after structural relaxation, with properties calculated at the PBE-GGA level.

Its density of states at the Fermi level is 20.92 states/eV per cell. For the energy, the calculation gives -4.36 eV per atom.

Cell: 9.1223 9.1223 19.2063 Å, 90.00 90.00 120.00°
Last column: nearest neighbours and their distance in Å.
Space group R-3 (No. 148, hexagonal axes)
Inequivalent atoms, fractional coordinates:
Li (0.0000, 0.0000, 0.0000) [3 per cell]  6 Er 3.42, 6 Pb 3.46
Er (0.0000, 0.0000, 0.3327) [6 per cell]  6 Pb 3.27-3.31, 3 Er 3.66
Er (0.0029, 0.3131, 0.0987) [18 per cell]  5 Pb 3.05-3.30, 1 Li 3.42
Pb (0.0018, 0.3482, 0.9275) [18 per cell]  7 Er 3.05-3.31

No. 8
Below is LiEr2Pb6 after structural relaxation, with properties calculated at the PBE-GGA level.

Its density of states at the Fermi level is 8.92 states/eV per cell. For the energy, the calculation gives -3.81 eV per atom.

Cell: 15.8938 7.3418 4.9279 Å, 90.00 104.69 90.00°
Last column: nearest neighbours and their distance in Å.
Space group C2/m (No. 12)
Inequivalent atoms, fractional coordinates:
Li (0.0000, 0.0000, 0.0000) [2 per cell]  8 Pb 2.93-2.97
Er (0.1581, 0.5000, 0.6276) [4 per cell]  8 Pb 3.18-3.25
Pb (0.0000, 0.2161, 0.5000) [4 per cell]  2 Li 2.93, 1 Pb 3.17, 2 Er 3.20
Pb (0.1613, 0.2222, 0.1347) [8 per cell]  1 Li 2.97, 3 Er 3.18-3.25, 1 Pb 3.26

No. 9
Below is Li2ErPb3 after structural relaxation, with properties calculated at the PBE-GGA level.

Its density of states at the Fermi level is 2.35 states/eV per cell. For the energy, the calculation gives -3.57 eV per atom. Its polymorph energy (0 for the lowest one) is 0.00 kcal/mol of atoms.

Cell: 3.6209 3.6209 11.2042 Å, 90.00 90.00 90.00°
Last column: nearest neighbours and their distance in Å.
Space group P4/mmm (No. 123)
Inequivalent atoms, fractional coordinates:
Li (0.0000, 0.0000, 0.1553) [2 per cell]  8 Pb 3.09-3.10
Er (0.0000, 0.0000, 0.5000) [1 per cell]  8 Pb 3.33, 4 Er 3.62
Pb (0.5000, 0.5000, 0.0000) [1 per cell]  8 Li 3.10
Pb (0.5000, 0.5000, 0.3103) [2 per cell]  4 Li 3.09, 4 Er 3.33

No. 10
Below is Li7ErPb4 after structural relaxation, with properties calculated at the PBE-GGA level.

Its density of states at the Fermi level is 8.84 states/eV per cell. For the energy, the calculation gives -2.87 eV per atom.

Cell: 13.0063 5.1103 10.1111 Å, 90.00 125.15 90.00°
Last column: nearest neighbours and their distance in Å.
Space group C2/m (No. 12)
Inequivalent atoms, fractional coordinates:
Li (0.0000, 0.0000, 0.0000) [2 per cell]  2 Er 2.56, 4 Pb 2.68-2.76
Li (0.0750, 0.5000, 0.3686) [4 per cell]  3 Pb 2.87-3.07, 4 Li 3.07-3.21
Li (0.1593, 0.0000, 0.5848) [4 per cell]  4 Pb 2.89-3.07, 3 Li 3.12-3.21
Li (0.2120, 0.5000, 0.8804) [4 per cell]  4 Pb 2.80-2.94, 1 Li 3.07
Er (0.0000, 0.5000, 0.0000) [2 per cell]  2 Li 2.56
Pb (0.0766, 0.0000, 0.7961) [4 per cell]  7 Li 2.76-3.07, 1 Pb 3.06
Pb (0.1966, 0.0000, 0.3114) [4 per cell]  5 Li 2.68-2.98

No. 11
Below is Li2ErPb4 after structural relaxation, with properties calculated at the PBE-GGA level.

Its density of states at the Fermi level is 8.25 states/eV per cell. For the energy, the calculation gives -3.56 eV per atom.

Cell: 7.2127 7.2127 7.3636 Å, 90.00 90.00 90.00°
Last column: nearest neighbours and their distance in Å.
Space group I4/mmm (No. 139)
Inequivalent atoms, fractional coordinates:
Li (0.0000, 0.5000, 0.0000) [4 per cell]  8 Pb 3.15
Er (0.0000, 0.0000, 0.0000) [2 per cell]  8 Pb 3.15
Pb (0.2500, 0.2500, 0.2500) [8 per cell]  4 Li 3.15, 2 Er 3.15

No. 12
Below is LiEr4Pb5 after structural relaxation, with properties calculated at the PBE-GGA level.

Its density of states at the Fermi level is 16.60 states/eV per cell. For the energy, the calculation gives -4.08 eV per atom.

Cell: 9.5446 9.5446 6.2896 Å, 90.00 90.00 90.00°
Last column: nearest neighbours and their distance in Å.
Space group I4 (No. 79)
Inequivalent atoms, fractional coordinates:
Li (0.0000, 0.0000, 0.0000) [2 per cell]  5 Pb 2.92-2.95
Er (0.0790, 0.3148, 0.7014) [8 per cell]  6 Pb 3.12-3.27
Pb (0.0000, 0.0000, 0.5364) [2 per cell]  1 Li 2.92
Pb (0.1023, 0.2603, 0.1997) [8 per cell]  1 Li 2.95, 5 Er 3.12-3.21

| no. | formation energy from the elements (eV/atom) |
| --- | --- |
| 1 | -0.213 |
| 2 | -0.150 |
| 3 | -0.347 |
| 4 | -0.089 |
| 5 | -0.130 |
| 6 | -0.318 |
| 7 | -0.316 |
| 8 | -0.107 |
| 9 | -0.314 |
| 10 | -0.136 |
| 11 | -0.246 |
| 12 | -0.214 |